Below is a geometry-optimized Al4Tl structure, with properties calculated at the GGA-PBE level.

a = 5.4912 Å, b = 5.4912 Å, c = 5.4912 Å
α = 109.47°, β = 109.47°, γ = 109.47°
With the nearest neighbours (Å) after each atom.
Atoms (fractional coordinates):
Al 0.0000 0.5000 0.0000  2 Tl 2.75
Al 0.0000 0.0000 0.5000  2 Tl 2.75
Al 0.5000 0.5000 0.5000  2 Tl 2.75
Al 0.5000 0.0000 0.0000  2 Tl 2.75
Tl 0.0000 0.0000 0.0000  8 Al 2.75

V	25.49	Å³ per atom
energy above the most stable polymorph in this dataset	512	meV/atom
formation enthalpy at 0 K	744	meV per atom
mass density	4.069	Mg/m³
M_tot	0.000	μB/atom